Computed, not measured: a PBEsol-optimized structure of Ni2AgSbP at the SCAN level of DFT.

POSCAR file:
```
Ni2AgSbP
1.0
-1.347 3.300 -2.119
0.762 -1.978 -3.564
-4.853 -1.951 0.046
Sb P Ag Ni
1 1 1 2
Cartesian
-2.427 -0.975 0.023
0.000 0.000 0.000
-2.719 -0.314 -2.819
0.381 -0.989 -1.782
-0.673 1.650 -1.060
```

Output
The density of states at the Fermi level comes out at 3.58 states/eV/f.u. The value obtained for the electronic total energy is -21.868 eV per atom. The calculation puts the magnetic moment at 0.00 μB/f.u. As for the space group: P4/mmm, No. 123. As for the uncorrected formation energy: 0.41 eV/atom.